(1)
# Y2MgCuO PBE-GGA optimized geometry
data_Y2MgCuO
_symmetry_space_group_name_H-M 'P 4/m m m'
_symmetry_Int_Tables_number 123
_symmetry_space_group_name_Hall '-P 4 2'
_cell_length_a 4.794
_cell_length_b 4.794
_cell_length_c 4.120
_cell_angle_alpha 90.00
_cell_angle_beta 90.00
_cell_angle_gamma 90.00
loop_
_atom_site_label
_atom_site_type_symbol
_atom_site_fract_x
_atom_site_fract_y
_atom_site_fract_z
Y1 Y 0.000 0.500 0.000
Mg1 Mg 0.000 0.000 0.500
Cu1 Cu 0.500 0.500 0.500
O1 O 0.000 0.000 0.000
# formation energy (no corrections) = -1.11 eV per atom
# calculated volume = 94.7 Å³ per cell


(2)
# Y2MgCuO5 PBE-GGA optimized geometry
data_Y2MgCuO5
_symmetry_space_group_name_H-M 'P 4/m b m'
_symmetry_Int_Tables_number 127
_symmetry_space_group_name_Hall '-P 4 2ab'
_cell_length_a 6.383
_cell_length_b 6.383
_cell_length_c 5.620
_cell_angle_alpha 90.00
_cell_angle_beta 90.00
_cell_angle_gamma 90.00
loop_
_atom_site_label
_atom_site_type_symbol
_atom_site_fract_x
_atom_site_fract_y
_atom_site_fract_z
Y1 Y 0.171 0.329 0.000
Mg1 Mg 0.000 0.000 0.500
Cu1 Cu 0.000 0.500 0.500
O1 O 0.000 0.000 0.000
O2 O 0.147 0.647 0.260
# formation energy (no corrections) = -2.29 eV per atom
# calculated volume = 229.0 Å³ per cell


(3)
# YMg14CuO16 PBE-GGA optimized geometry
data_YMg14CuO16
_symmetry_space_group_name_H-M 'P 4/m m m'
_symmetry_Int_Tables_number 123
_symmetry_space_group_name_Hall '-P 4 2'
_cell_length_a 8.689
_cell_length_b 8.689
_cell_length_c 4.317
_cell_angle_alpha 90.00
_cell_angle_beta 90.00
_cell_angle_gamma 90.00
loop_
_atom_site_label
_atom_site_type_symbol
_atom_site_fract_x
_atom_site_fract_y
_atom_site_fract_z
Y1 Y 0.000 0.000 0.000
Mg1 Mg 0.000 0.265 0.500
Mg2 Mg 0.000 0.500 0.000
Mg3 Mg 0.256 0.500 0.500
Mg4 Mg 0.262 0.262 0.000
Cu1 Cu 0.500 0.500 0.000
O1 O 0.000 0.000 0.500
O2 O 0.000 0.257 0.000
O3 O 0.000 0.500 0.500
O4 O 0.234 0.500 0.000
O5 O 0.249 0.249 0.500
O6 O 0.500 0.500 0.500
# formation energy (no corrections) = -2.57 eV per atom
# calculated volume = 325.9 Å³ per cell


(4)
# YMg30CuO32 PBE-GGA optimized geometry
data_YMg30CuO32
_symmetry_space_group_name_H-M 'P 4/m m m'
_symmetry_Int_Tables_number 123
_symmetry_space_group_name_Hall '-P 4 2'
_cell_length_a 8.589
_cell_length_b 8.589
_cell_length_c 8.581
_cell_angle_alpha 90.00
_cell_angle_beta 90.00
_cell_angle_gamma 90.00
loop_
_atom_site_label
_atom_site_type_symbol
_atom_site_fract_x
_atom_site_fract_y
_atom_site_fract_z
Y1 Y 0.000 0.000 0.000
Mg1 Mg 0.000 0.000 0.500
Mg2 Mg 0.000 0.258 0.256
Mg3 Mg 0.000 0.500 0.000
Mg4 Mg 0.000 0.500 0.500
Mg5 Mg 0.252 0.252 0.500
Mg6 Mg 0.254 0.500 0.249
Mg7 Mg 0.260 0.260 0.000
Mg8 Mg 0.500 0.500 0.500
Cu1 Cu 0.500 0.500 0.000
O1 O 0.000 0.000 0.260
O2 O 0.000 0.250 0.500
O3 O 0.000 0.258 0.000
O4 O 0.000 0.500 0.254
O5 O 0.237 0.500 0.000
O6 O 0.248 0.500 0.500
O7 O 0.250 0.250 0.249
O8 O 0.500 0.500 0.264
# formation energy (no corrections) = -2.64 eV per atom
# calculated volume = 633.0 Å³ per cell


(5)
# MgZnCu2O PBE-GGA optimized geometry
data_MgZnCu2O
_symmetry_space_group_name_H-M 'P 4/m m m'
_symmetry_Int_Tables_number 123
_symmetry_space_group_name_Hall '-P 4 2'
_cell_length_a 4.172
_cell_length_b 4.172
_cell_length_c 3.923
_cell_angle_alpha 90.00
_cell_angle_beta 90.00
_cell_angle_gamma 90.00
loop_
_atom_site_label
_atom_site_type_symbol
_atom_site_fract_x
_atom_site_fract_y
_atom_site_fract_z
Mg1 Mg 0.000 0.000 0.000
Zn1 Zn 0.500 0.500 0.000
Cu1 Cu 0.000 0.500 0.500
O1 O 0.000 0.000 0.500
# formation energy (no corrections) = -0.38 eV per atom
# calculated volume = 68.3 Å³ per cell


(6)
# Mg14ZnCuO16 PBE-GGA optimized geometry
data_Mg14ZnCuO16
_symmetry_space_group_name_H-M 'P m m m'
_symmetry_Int_Tables_number 47
_symmetry_space_group_name_Hall '-P 2 2'
_cell_length_a 4.249
_cell_length_b 8.524
_cell_length_c 8.543
_cell_angle_alpha 90.00
_cell_angle_beta 90.00
_cell_angle_gamma 90.00
loop_
_atom_site_label
_atom_site_type_symbol
_atom_site_fract_x
_atom_site_fract_y
_atom_site_fract_z
Mg1 Mg 0.000 0.000 0.000
Mg2 Mg 0.000 0.249 0.251
Mg3 Mg 0.000 0.500 0.000
Mg4 Mg 0.500 0.000 0.251
Mg5 Mg 0.500 0.249 0.500
Mg6 Mg 0.500 0.250 0.000
Mg7 Mg 0.500 0.500 0.250
Zn1 Zn 0.000 0.500 0.500
Cu1 Cu 0.000 0.000 0.500
O1 O 0.000 0.000 0.246
O2 O 0.000 0.250 0.000
O3 O 0.000 0.251 0.500
O4 O 0.000 0.500 0.246
O5 O 0.500 0.000 0.000
O6 O 0.500 0.000 0.500
O7 O 0.500 0.250 0.251
O8 O 0.500 0.500 0.000
O9 O 0.500 0.500 0.500
# formation energy (no corrections) = -2.47 eV per atom
# calculated volume = 309.4 Å³ per cell
# energy above the lowest structure with this stoichiometry = 0.0 meV/atom


(7)
# Mg14ZnCuO16 PBE-GGA optimized geometry
data_Mg14ZnCuO16
_symmetry_space_group_name_H-M 'P 4/m m m'
_symmetry_Int_Tables_number 123
_symmetry_space_group_name_Hall '-P 4 2'
_cell_length_a 8.528
_cell_length_b 8.528
_cell_length_c 4.256
_cell_angle_alpha 90.00
_cell_angle_beta 90.00
_cell_angle_gamma 90.00
loop_
_atom_site_label
_atom_site_type_symbol
_atom_site_fract_x
_atom_site_fract_y
_atom_site_fract_z
Mg1 Mg 0.000 0.249 0.000
Mg2 Mg 0.000 0.500 0.500
Mg3 Mg 0.249 0.249 0.500
Mg4 Mg 0.250 0.500 0.000
Zn1 Zn 0.500 0.500 0.500
Cu1 Cu 0.000 0.000 0.500
O1 O 0.000 0.000 0.000
O2 O 0.000 0.253 0.500
O3 O 0.000 0.500 0.000
O4 O 0.246 0.500 0.500
O5 O 0.250 0.250 0.000
O6 O 0.500 0.500 0.000
# formation energy (no corrections) = -2.47 eV per atom
# calculated volume = 309.6 Å³ per cell
# energy above the lowest structure with this stoichiometry = 2.1 meV/atom


(8)
# MgCuOs PBE-GGA optimized geometry
data_MgCuOs
_symmetry_space_group_name_H-M 'F m m 2'
_symmetry_Int_Tables_number 42
_symmetry_space_group_name_Hall 'F 2 -2'
_cell_length_a 2.958
_cell_length_b 4.488
_cell_length_c 13.238
_cell_angle_alpha 90.00
_cell_angle_beta 90.00
_cell_angle_gamma 90.00
loop_
_atom_site_label
_atom_site_type_symbol
_atom_site_fract_x
_atom_site_fract_y
_atom_site_fract_z
Mg1 Mg 0.000 0.000 0.000
Cu1 Cu 0.000 0.000 0.334
Os1 Os 0.000 0.000 0.671
# calculated volume = 175.7 Å³ per cell
# DFT formation energy = 0.927 eV/f.u.
# energy above the lowest structure with this stoichiometry = 49.6 meV/atom


What is the formula in the seventh record? Mg14ZnCuO16


The lowest calculated volume belongs to which entry? MgZnCu2O